! Os2BrCl, relaxed, DFT PBEsol; values from VASP
&SYSTEM
  ibrav = 0, nat = 4, ntyp = 3
/
ATOMIC_SPECIES
Os 190.23 Os.upf
Br 79.90 Br.upf
Cl 35.45 Cl.upf
ATOMIC_POSITIONS crystal
Os 0.250 0.250 0.250
Os 0.750 0.750 0.750
Br 0.000 0.000 0.000
Cl 0.500 0.500 0.500
CELL_PARAMETERS angstrom
0.000 3.108 3.108
3.108 0.000 3.108
3.108 3.108 0.000
! Total DFT energy (no corrections) (eV per cell): -21.49
! E_form (uncorrected) (eV/atom): 1.71
! Offset from the most stable computed form (eV/atom): 0.920